## RbAc2PdO4 (GGA-PBE)

Data for RbAc2PdO4 after structural relaxation.

## Properties
- Uncorrected energy: -6.447 eV per atom
- Symmetry: Cmcm
- Crystal system: orthorhombic

Geometry as extended XYZ:
```
16
Lattice="-0.250 3.238 -2.050 -1.866 -4.970 -4.024 -12.634 1.534 3.964" Properties=species:S:1:pos:R:3 pbc="T T T"
O 0.000 0.000 0.000
Rb -4.829 -0.600 -3.954
Pd -10.977 0.453 -1.543
O -12.583 1.366 0.096
Ac -1.385 0.823 -2.129
O -6.176 -1.078 -0.949
Ac -13.365 -1.021 0.018
O -11.121 -1.619 -1.200
O -8.574 0.880 -1.162
Rb -9.921 0.401 1.844
O -3.629 1.420 -0.911
O -6.317 0.767 1.982
O -2.167 -1.565 -2.207
Ac -6.234 1.411 -0.608
Ac -8.516 -1.610 -1.503
Pd -3.773 -0.651 -0.568
```